(1)
DFT (GGA-PBE) results for a geometry-optimized LaMnHS2 structure.

a = 4.7859 Å, b = 4.7859 Å, c = 3.7016 Å
α = 90.00°, β = 90.00°, γ = 90.00°
Each line ends with the local moment (μB).
Fractional positions:
S  0.5000  0.0000  0.0000  0.03
H  0.0000  0.0000  0.5000  -0.02
Mn  0.0000  0.0000  0.0000  3.55
S  0.0000  0.5000  0.0000  0.03
La  0.5000  0.5000  0.5000  0.02

## Properties
calculated density = 5.07 g cm⁻³
raw total energy = -6.2422 eV/atom

***

(2)
DFT (GGA-PBE) results for a geometry-optimized AcLaRuBr structure.

a = 4.2080 Å, b = 4.2086 Å, c = 8.5248 Å
α = 90.02°, β = 104.28°, γ = 120.00°
Fractional positions:
Br  0.9609  0.3784  0.3543
Ac  0.5056  0.1506  0.6718
Ru  0.3139  0.5547  0.8841
La  0.0974  0.9472  0.0594

## Properties
calculated density = 7.25 g cm⁻³
raw total energy = -5.8416 eV/atom

***

(3)
DFT (GGA-PBE) results for a geometry-optimized Pa3Ga9Cu2 structure.

a = 4.1877 Å, b = 8.1539 Å, c = 8.1539 Å
α = 77.39°, β = 75.12°, γ = 75.12°
Fractional positions:
Ga  0.6549  0.7135  0.9767
Ga  0.1326  0.1476  0.5871
Pa  0.6905  0.3095  0.3095
Ga  0.1326  0.5871  0.1476
Cu  0.5000  0.2975  0.7025
Pa  0.3095  0.6905  0.6905
Ga  0.0000  0.5000  0.5000
Ga  0.3451  0.0233  0.2865
Ga  0.3451  0.2865  0.0233
Cu  0.5000  0.7025  0.2975
Ga  0.8674  0.4128  0.8524
Ga  0.6549  0.9767  0.7135
Pa  0.0000  0.0000  0.0000
Ga  0.8674  0.8524  0.4128

## Properties
calculated density = 9.37 g cm⁻³
energy of formation = -25.0 kJ per mole of atoms

***

(4)
DFT (GGA-PBE) results for a geometry-optimized K2Sb4S7 structure.

a = 6.6222 Å, b = 6.6222 Å, c = 17.8905 Å
α = 86.78°, β = 86.78°, γ = 75.19°
Fractional positions:
S  0.2680  0.6816  0.0377
S  0.9742  0.4814  0.3722
Sb  0.1207  0.8551  0.6195
S  0.0019  0.9981  0.7500
Sb  0.6950  0.6340  0.5347
S  0.7261  0.4889  0.1572
K  0.7924  0.5484  0.7963
S  0.9981  0.0019  0.2500
S  0.6816  0.2680  0.5377
S  0.2739  0.5111  0.8428
Sb  0.6340  0.6950  0.0347
Sb  0.3050  0.3660  0.4653
S  0.0258  0.5186  0.6278
K  0.5484  0.7924  0.2963
Sb  0.8551  0.1207  0.1195
S  0.5186  0.0258  0.1278
Sb  0.3660  0.3050  0.9653
S  0.4814  0.9742  0.8722
S  0.5111  0.2739  0.3428
K  0.2076  0.4516  0.2037
K  0.4516  0.2076  0.7037
Sb  0.8793  0.1449  0.3805
S  0.4889  0.7261  0.6572
S  0.3184  0.7320  0.4623
Sb  0.1449  0.8793  0.8805
S  0.7320  0.3184  0.9623

## Properties
calculated density = 3.47 g cm⁻³
raw total energy = -4.2168 eV/atom

***

(5)
DFT (GGA-PBE) results for a geometry-optimized GdAlCu2 structure.

a = 3.0699 Å, b = 3.0699 Å, c = 7.1586 Å
α = 90.00°, β = 90.00°, γ = 90.00°
Each line ends with the local moment (μB).
Fractional positions:
Cu  0.0000  0.0000  0.1988  0.01
Cu  0.0000  0.0000  0.8012  0.01
Al  0.5000  0.5000  0.0000  0.00
Gd  0.5000  0.5000  0.5000  7.22

## Properties
calculated density = 7.66 g cm⁻³
energy of formation = -15.4 kJ per mole of atoms

***

(6)
DFT (GGA-PBE) results for a geometry-optimized Sc8TcAg2 structure.

a = 4.8969 Å, b = 6.4757 Å, c = 8.3383 Å
α = 108.27°, β = 107.08°, γ = 90.00°
Fractional positions:
Sc  0.5950  0.4315  0.1899
Sc  0.3403  0.0444  0.6806
Sc  0.0250  0.7926  0.0501
Ag  0.1837  0.6961  0.3674
Sc  0.1911  0.2797  0.3822
Sc  0.4050  0.5685  0.8101
Ag  0.8163  0.3039  0.6326
Sc  0.8089  0.7203  0.6178
Sc  0.6597  0.9556  0.3194
Sc  0.9750  0.2074  0.9499
Tc  0.5000  0.0000  0.0000

## Properties
calculated density = 4.68 g cm⁻³
polymorph energy (0 for the lowest one) = 0 meV/atom
energy of formation = -17.2 kJ per mole of atoms

***

(7)
DFT (GGA-PBE) results for a geometry-optimized Tb4SmHg structure.

a = 6.3849 Å, b = 9.0241 Å, c = 8.2516 Å
α = 113.32°, β = 100.00°, γ = 112.96°
Fractional positions:
Hg  0.2509  0.0009  0.0017
Hg  0.7491  0.9991  0.9983
Tb  0.6350  0.0887  0.3756
Tb  0.9621  0.8365  0.2358
Sm  0.6560  0.4060  0.8120
Tb  0.7594  0.7130  0.6244
Tb  0.2264  0.6008  0.7642
Sm  0.3440  0.5940  0.1880
Tb  0.0379  0.1635  0.7642
Tb  0.7736  0.3992  0.2358
Tb  0.2406  0.2870  0.3756
Tb  0.3650  0.9113  0.6244

## Properties
calculated density = 8.84 g cm⁻³
polymorph energy (0 for the lowest one) = 94 meV/atom
energy of formation = -4.9 kJ per mole of atoms

***

(8)
DFT (GGA-PBE) results for a geometry-optimized RbScS3 structure.

a = 5.0525 Å, b = 5.0525 Å, c = 5.0525 Å
α = 90.00°, β = 90.00°, γ = 90.00°
Each line ends with the local moment (μB).
Fractional positions:
S  0.5000  0.0000  0.0000  0.20
Rb  0.5000  0.5000  0.5000  0.00
S  0.0000  0.0000  0.5000  0.23
Sc  0.0000  0.0000  0.0000  -0.02
S  0.0000  0.5000  0.0000  0.27

## Properties
calculated density = 2.92 g cm⁻³
polymorph energy (0 for the lowest one) = 0 meV/atom